# MnPPbO4

A relaxed MnPPbO4 crystal (PBE with a Hubbard U, Alexandria).

Structure (POSCAR):
```
MnPPbO4
1.0
-3.5235 2.9274 -4.7521
-1.2010 -5.4839 -2.4878
-3.8382 -1.2872 4.6902
Mn P Pb O
2 2 2 8
Direct
0.7593 0.7500 0.6476
0.2407 0.2500 0.3524
0.2649 0.7500 0.2856
0.7351 0.2500 0.7144
0.7472 0.7500 0.1439
0.2528 0.2500 0.8561
0.8872 0.4511 0.7284
0.1128 0.9511 0.2716
0.1128 0.5489 0.2716
0.8872 0.0489 0.7284
0.3538 0.7500 0.0817
0.6462 0.2500 0.9183
0.4397 0.7500 0.5166
0.5603 0.2500 0.4834
```

Computed properties:
As for the total energy: -6.869 eV per atom. The total magnetic moment is 4.02 μB per formula unit. As for the space group: P2_1/m (11). The density of states at the Fermi level is 0.933 states/eV per cell.